Compound: SiTc2Sb
Source: Alexandria via LeMat-Bulk
Functional: PBE-GGA
Structure: optimized geometry

Summary:
size of the total moment	0.00	μB per formula unit
mass density	8783	kg/m3
ΔE_f (raw)	-0.01	eV per atom
energy above the most stable polymorph in this dataset	0.28	eV/f.u.

Structure (CIF):
```
data_SiTc2Sb
_chemical_formula_sum 'Si2 Tc4 Sb2'
_space_group_name_H-M_alt 'I m m 2'
_space_group_IT_number 44
_space_group_name_Hall 'I 2 -2'
_cell_length_a 3.134
_cell_length_b 3.898
_cell_length_c 10.705
_cell_angle_alpha 90.00
_cell_angle_beta 90.00
_cell_angle_gamma 90.00
loop_
_atom_site_label
_atom_site_fract_x
_atom_site_fract_y
_atom_site_fract_z
_atom_site_occupancy
Si1 0.000 0.000 0.000 1
Tc1 0.000 0.000 0.439 1
Tc2 0.000 0.500 0.677 1
Sb1 0.000 0.500 0.259 1
```